This record from OQMD describes a geometry-optimized Pm2Si3Pd structure. The functional is PBE.

Computed properties:
- Total magnetic moment: 0.003 μB per cell
- E_tot: -6.071 eV per atom

Unit cell a=8.2811 b=8.2355 c=5.8890 alpha=69.53 beta=68.70 gamma=41.78
Last column: nearest neighbours and their distance in Å.
Fractional positions:
Pm1 0.7447 0.2553 0.7447  10 Si 3.13-3.21, 2 Pd 3.21
Pd1 0.1669 0.1669 0.8331  3 Si 2.39
Pm2 0.2553 0.7447 0.2553  10 Si 3.13-3.21, 2 Pd 3.21
Si1 0.8324 0.3333 0.1676  2 Si 2.36-2.37, 1 Pd 2.39
Si2 0.3333 0.8324 0.6667  2 Si 2.36-2.37, 1 Pd 2.39
Si3 0.3344 0.3344 0.6656  2 Si 2.37, 1 Pd 2.39
Si4 0.1676 0.6667 0.8324  2 Si 2.36-2.37, 1 Pd 2.39
Pm3 0.7500 0.7500 0.7500  4 Pd 3.17, 8 Si 3.18
Si5 0.6656 0.6656 0.3344  2 Si 2.37, 1 Pd 2.39
Pd2 0.8331 0.8331 0.1669  3 Si 2.39
Pm4 0.2500 0.2500 0.2500  4 Pd 3.17, 8 Si 3.18
Si6 0.6667 0.1676 0.3333  2 Si 2.36-2.37, 1 Pd 2.39


This record from OQMD describes a geometry-optimized Pm3Si4Pd4 structure. The functional is PBE.

Computed properties:
- Total magnetic moment: 0.016 μB per cell
- E_tot: -6.095 eV per atom

Unit cell a=12.6251 b=12.6251 c=12.6251 alpha=161.20 beta=160.68 gamma=27.09
Last column: nearest neighbours and their distance in Å.
Fractional positions:
Si1 0.1957 0.1957 0.0000  5 Pd 2.42-2.51
Pd1 0.0969 0.0969 0.0000  3 Si 2.42-2.43
Pm1 0.6466 0.6466 0.0000  6 Si 3.17-3.19, 8 Pd 3.20-3.29
Si2 0.5484 0.0484 0.5000  1 Si 2.37, 2 Pd 2.43
Pd2 0.9031 0.9031 0.0000  3 Si 2.42-2.43
Pm2 0.3534 0.3534 0.0000  6 Si 3.17-3.19, 8 Pd 3.20-3.29
Pd3 0.2492 0.7492 0.5000  4 Si 2.45-2.51
Si3 0.8043 0.8043 0.0000  5 Pd 2.42-2.51
Pm3 0.0000 0.5000 0.5000  4 Pd 3.15, 8 Si 3.19
Pd4 0.7508 0.2508 0.5000  4 Si 2.45-2.51
Si4 0.4516 0.9516 0.5000  1 Si 2.37, 2 Pd 2.43


This record from OQMD describes a geometry-optimized PmSi2Pd2 structure. The functional is PBE.

Computed properties:
- Total magnetic moment: 0.004 μB per cell
- E_tot: -6.141 eV per atom

Unit cell a=5.7936 b=5.7936 c=5.7936 alpha=137.33 beta=137.33 gamma=61.93
Last column: nearest neighbours and their distance in Å.
Fractional positions:
Pd1 0.7500 0.2500 0.5000  4 Si 2.48
Pm1 0.0000 0.0000 0.0000  8 Si 3.21, 8 Pd 3.26
Si1 0.3811 0.3811 0.0000  1 Si 2.36, 4 Pd 2.48
Si2 0.6189 0.6189 0.0000  1 Si 2.36, 4 Pd 2.48
Pd2 0.2500 0.7500 0.5000  4 Si 2.48


This record from OQMD describes a geometry-optimized PmSiPd structure. The functional is PBE.

Computed properties:
- Energy above the lowest structure with this stoichiometry: 0.000 eV/atom
- Total magnetic moment: 0.476 μB per cell

Unit cell a=4.5810 b=4.5810 c=4.5810 alpha=60.00 beta=60.00 gamma=60.00
Last column: nearest neighbours and their distance in Å.
Fractional positions:
Pd1 0.0000 0.0000 0.0000  4 Si 2.81, 4 Pm 2.81
Si1 0.7500 0.7500 0.7500  4 Pd 2.81
Pm1 0.2500 0.2500 0.2500  4 Pd 2.81


This record from OQMD describes a geometry-optimized PmSmPd structure. The functional is PBE.

Computed properties:
- ΔE_f: -396 meV/atom
- Energy above the lowest structure with this stoichiometry: 0.000 eV/atom
- Total magnetic moment: 0.044 μB per cell

Unit cell a=4.9761 b=4.9761 c=4.9761 alpha=60.00 beta=60.00 gamma=60.00
Last column: nearest neighbours and their distance in Å.
Fractional positions:
Sm1 0.7500 0.7500 0.7500  4 Pd 3.05
Pd1 0.0000 0.0000 0.0000  4 Pm 3.05, 4 Sm 3.05
Pm1 0.2500 0.2500 0.2500  4 Pd 3.05


This record from OQMD describes a geometry-optimized PmSn4Pd6 structure. The functional is PBE.

Computed properties:
- Total magnetic moment: 0.006 μB per cell
- E_tot: -5.357 eV per atom

Unit cell a=7.6969 b=7.6969 c=4.1949 alpha=90.00 beta=90.00 gamma=120.00
Last column: nearest neighbours and their distance in Å.
Fractional positions:
Pm1 0.0000 0.0000 0.0000  6 Sn 3.31, 6 Pd 3.42
Pd1 0.4628 0.9257 0.0000  5 Sn 2.72-2.77, 2 Pd 2.99
Pd2 0.4628 0.5372 0.0000  5 Sn 2.72-2.77, 2 Pd 2.99
Pd3 0.0743 0.5372 0.0000  5 Sn 2.72-2.77, 2 Pd 2.99
Sn1 0.1916 0.8084 0.5000  6 Pd 2.63-2.77
Pd4 0.7976 0.2024 0.5000  4 Sn 2.63-2.73
Sn2 0.1916 0.3832 0.5000  6 Pd 2.63-2.77
Pd5 0.4049 0.2024 0.5000  4 Sn 2.63-2.73
Sn3 0.6667 0.3333 0.0000  9 Pd 2.72-2.73
Sn4 0.6168 0.8084 0.5000  6 Pd 2.63-2.77
Pd6 0.7976 0.5951 0.5000  4 Sn 2.63-2.73


This record from OQMD describes a geometry-optimized Pm3Sn3Pd2 structure. The functional is PBE.

Computed properties:
- Total magnetic moment: 0.006 μB per cell
- E_tot: -5.452 eV per atom

Unit cell a=6.0402 b=6.0402 c=15.4877 alpha=90.00 beta=90.00 gamma=134.95
Last column: nearest neighbours and their distance in Å.
Fractional positions:
Pm1 0.4163 0.5837 0.8902  4 Pd 3.23-3.59, 7 Sn 3.26-3.46
Pm2 0.1433 0.8567 0.7500  5 Sn 3.27-3.30, 4 Pd 3.30
Pd1 0.7055 0.2945 0.8954  4 Sn 2.70-2.91
Pm3 0.8567 0.1433 0.2500  5 Sn 3.27-3.30, 4 Pd 3.30
Sn1 0.8506 0.1494 0.7500  2 Pd 2.77
Pd2 0.2945 0.7055 0.1046  4 Sn 2.70-2.91
Sn2 0.1235 0.8765 0.9626  3 Pd 2.70-2.91, 1 Sn 2.99
Pd3 0.7055 0.2945 0.6046  4 Sn 2.70-2.91
Pd4 0.2945 0.7055 0.3954  4 Sn 2.70-2.91
Sn3 0.1235 0.8765 0.5374  3 Pd 2.70-2.91, 1 Sn 2.99
Pm4 0.5837 0.4163 0.3902  4 Pd 3.23-3.59, 7 Sn 3.26-3.46
Sn4 0.1494 0.8506 0.2500  2 Pd 2.77
Pm5 0.5837 0.4163 0.1098  4 Pd 3.23-3.59, 7 Sn 3.26-3.46
Pm6 0.4163 0.5837 0.6098  4 Pd 3.23-3.59, 7 Sn 3.26-3.46
Sn5 0.8765 0.1235 0.4626  3 Pd 2.70-2.91, 1 Sn 2.99
Sn6 0.8765 0.1235 0.0374  3 Pd 2.70-2.91, 1 Sn 2.99


This record from OQMD describes a geometry-optimized Pm2Sn5Pd3 structure. The functional is PBE.

Computed properties:
- Total magnetic moment: 0.004 μB per cell
- E_tot: -5.191 eV per atom

Unit cell a=9.0805 b=9.0805 c=9.0805 alpha=106.04 beta=89.22 gamma=137.51
Last column: nearest neighbours and their distance in Å.
Fractional positions:
Pm1 0.3567 0.2285 0.5852  10 Sn 3.21-3.55, 3 Pd 3.32-3.56
Sn1 0.5284 0.7500 0.7784  3 Pd 2.67-2.86
Pd1 0.1423 0.3956 0.5379  5 Sn 2.57-2.72
Pm2 0.1433 0.7285 0.8719  10 Sn 3.21-3.55, 3 Pd 3.32-3.56
Sn2 0.0284 0.2500 0.7784  3 Pd 2.67-2.86
Sn3 0.4105 0.6686 0.0792  3 Pd 2.57-2.73
Pd2 0.2500 0.2500 0.0000  6 Sn 2.73-2.86
Sn4 0.4716 0.2500 0.2216  3 Pd 2.67-2.86
Sn5 0.7500 0.2500 0.5000  4 Pd 2.72
Pm3 0.8567 0.2715 0.1281  10 Sn 3.21-3.55, 3 Pd 3.32-3.56
Pd3 0.3577 0.8956 0.2532  5 Sn 2.57-2.72
Sn6 0.9105 0.8314 0.7419  3 Pd 2.57-2.73
Pm4 0.6433 0.7715 0.4148  10 Sn 3.21-3.55, 3 Pd 3.32-3.56
Sn7 0.5895 0.3314 0.9208  3 Pd 2.57-2.73
Pd4 0.8577 0.6044 0.4621  5 Sn 2.57-2.72
Pd5 0.7500 0.7500 0.0000  6 Sn 2.73-2.86
Sn8 0.2500 0.7500 0.5000  4 Pd 2.72
Sn9 0.9716 0.7500 0.2216  3 Pd 2.67-2.86
Pd6 0.6423 0.1044 0.7468  5 Sn 2.57-2.72
Sn10 0.0895 0.1686 0.2581  3 Pd 2.57-2.73


This record from OQMD describes a geometry-optimized TbPmPd6 structure. The functional is PBE.

Computed properties:
- ΔE_f: -848 meV/atom
- Total magnetic moment: 0.002 μB per cell

Unit cell a=4.1495 b=4.1495 c=8.2796 alpha=90.00 beta=90.00 gamma=90.00
Last column: nearest neighbours and their distance in Å.
Fractional positions:
Pd1 0.0000 0.5000 0.2460  8 Pd 2.91-2.95, 2 Tb 2.91, 2 Pm 2.95
Pd2 0.5000 0.0000 0.7540  8 Pd 2.91-2.95, 2 Tb 2.91, 2 Pm 2.95
Pd3 0.5000 0.0000 0.2460  8 Pd 2.91-2.95, 2 Tb 2.91, 2 Pm 2.95
Pd4 0.0000 0.5000 0.7540  2 Tb 2.91, 8 Pd 2.91-2.95, 2 Pm 2.95
Pd5 0.5000 0.5000 0.0000  8 Pd 2.91, 4 Tb 2.93
Pm1 0.0000 0.0000 0.5000  12 Pd 2.93-2.95
Pd6 0.5000 0.5000 0.5000  4 Pm 2.93, 8 Pd 2.95
Tb1 0.0000 0.0000 0.0000  12 Pd 2.91-2.93


This record from OQMD describes a geometry-optimized TbPmPd structure. The functional is PBE.

Computed properties:
- ΔE_f: -424 meV/atom
- Total magnetic moment: 0.004 μB per cell

Unit cell a=4.9393 b=4.9393 c=4.9393 alpha=60.00 beta=60.00 gamma=60.00
Last column: nearest neighbours and their distance in Å.
Fractional positions:
Pd1 0.0000 0.0000 0.0000  4 Pm 3.02, 4 Tb 3.02
Tb1 0.7500 0.7500 0.7500  4 Pd 3.02
Pm1 0.2500 0.2500 0.2500  4 Pd 3.02


This record from OQMD describes a geometry-optimized PmTcPd structure. The functional is PBE.

Computed properties:
- ΔE_f: 809 meV/atom
- Energy above the lowest structure with this stoichiometry: 0.434 eV/atom
- Total magnetic moment: 2.097 μB per cell

Unit cell a=4.6165 b=4.6165 c=4.6165 alpha=60.00 beta=60.00 gamma=60.00
Last column: nearest neighbours and their distance in Å.
Fractional positions:
Pd1 0.2500 0.2500 0.2500  4 Pm 2.83
Tc1 0.7500 0.7500 0.7500  4 Pm 2.83
Pm1 0.0000 0.0000 0.0000  4 Pd 2.83, 4 Tc 2.83


This record from OQMD describes a geometry-optimized PmTcPd structure. The functional is PBE.

Computed properties:
- ΔE_f: 375 meV/atom
- Energy above the lowest structure with this stoichiometry: 0.000 eV/atom
- Total magnetic moment: 2.375 μB per cell

Unit cell a=4.6286 b=4.6286 c=4.6286 alpha=60.00 beta=60.00 gamma=60.00
Last column: nearest neighbours and their distance in Å.
Fractional positions:
Tc1 0.2500 0.2500 0.2500  4 Pd 2.83
Pm1 0.7500 0.7500 0.7500  4 Pd 2.83
Pd1 0.0000 0.0000 0.0000  4 Pm 2.83, 4 Tc 2.83